1.
Computed, not measured: an optimized crystal structure of Y4Er2Tl at the PBE-GGA level of DFT.

- calculated formation energy (eV/atom) = 0.004
- N(E_F) (states/eV per cell) = 9.96
- crystal system = monoclinic
- symmetry = C2/m

Unit cell a=3.486 b=8.555 c=8.403 alpha=116.47 beta=101.97 gamma=90.00
Element x y z (fractional)
1 Y 0.921 0.293 0.843
2 Y 0.079 0.707 0.157
3 Y 0.637 0.405 0.274
4 Y 0.363 0.595 0.726
5 Er 0.782 0.860 0.564
6 Er 0.218 0.140 0.436
7 Tl 0.000 0.000 0.000

***

2.
Computed, not measured: an optimized crystal structure of BaPuPt at the PBE-GGA level of DFT.

- calculated formation energy (eV/atom) = -0.537
- ΔE to the lowest computed polymorph (eV per atom) = 0.000
- N(E_F) (states/eV per cell) = 17.69
- crystal system = tetragonal
- symmetry = P4/nmm

Unit cell a=4.821 b=4.821 c=8.131 alpha=90.00 beta=90.00 gamma=90.00
Each line ends with the local moment (μB).
Element x y z (fractional)
1 Ba 0.000 0.500 0.864  0.11
2 Ba 0.500 0.000 0.136  0.11
3 Pu 0.500 0.500 0.500  5.45
4 Pu 0.000 0.000 0.500  5.45
5 Pt 0.000 0.500 0.293  -0.01
6 Pt 0.500 0.000 0.707  -0.01

***

Going through the records in order, we get electronic total energy values of -5.332 -7.968 eV/atom.